This record from the Alexandria database describes a PBEsol-optimized structure of NbTlCo2F. The functional is meta-GGA SCAN.

abc: 4.268 4.740 4.740
angles: 90.00 90.00 90.00
Last column: magnetic moment on the atom in μB.
Atoms (fractional coordinates):
Nb1 0.500 0.500 0.500  -2.21
Tl1 0.000 0.000 0.000  -0.02
Co1 0.000 0.000 0.500  1.90
Co2 0.000 0.500 0.000  1.90
F1 0.500 0.000 0.000  -0.07

Summary:
As for the space-group type: P4/mmm (123). Its final energy is -2.0390 Ry/atom. The calculation puts the uncorrected formation energy at 0.99 eV/atom.

This record from the Alexandria database describes a PBEsol-optimized structure of RbCoNiF6. The functional is meta-GGA SCAN.

abc: 7.006 7.006 7.006
angles: 90.30 60.24 120.59
Last column: magnetic moment on the atom in μB.
Atoms (fractional coordinates):
F1 0.769 0.834 0.315  0.03
Ni1 0.500 0.500 0.500  1.73
Ni2 0.000 0.500 0.000  1.73
F2 0.750 0.815 0.935  -0.02
F3 0.269 0.584 0.065  0.03
F4 0.250 0.584 0.666  0.07
Co1 0.500 0.500 0.000  0.07
F5 0.231 0.166 0.685  0.03
F6 0.250 0.185 0.065  -0.02
Co2 0.000 0.000 0.000  0.07
F7 0.149 0.834 0.935  0.03
F8 0.731 0.416 0.935  0.03
F9 0.851 0.166 0.065  0.03
F10 0.351 0.416 0.315  0.03
Rb1 0.250 0.875 0.375  0.00
Rb2 0.750 0.125 0.625  0.00
F11 0.750 0.416 0.334  0.07
F12 0.649 0.584 0.685  0.03

Summary:
As for the space-group type: Imma (74). Its final energy is -0.7989 Ry/atom. The calculation puts the uncorrected formation energy at -2.49 eV/atom.

This record from the Alexandria database describes a PBEsol-optimized structure of Co2O3F. The functional is meta-GGA SCAN.

abc: 5.746 6.608 6.254
angles: 90.00 90.00 115.77
Last column: magnetic moment on the atom in μB.
Atoms (fractional coordinates):
Co1 0.126 0.751 0.250  1.83
F1 0.873 0.747 0.467  0.09
O1 0.527 0.554 0.750  0.22
O2 0.778 0.055 0.250  0.23
O3 0.623 0.246 0.565  0.20
O4 0.377 0.754 0.435  0.20
Co2 0.874 0.249 0.750  1.83
Co3 0.374 0.249 0.750  1.83
O5 0.222 0.945 0.750  0.23
Co4 0.626 0.751 0.250  1.83
Co5 0.875 0.749 0.777  0.32
O6 0.027 0.554 0.750  0.22
F2 0.627 0.253 0.967  0.09
O7 0.123 0.246 0.935  0.20
O8 0.877 0.754 0.065  0.20
Co6 0.125 0.251 0.223  0.32
O9 0.722 0.945 0.750  0.23
Co7 0.375 0.749 0.723  0.32
F3 0.127 0.253 0.533  0.09
O10 0.473 0.446 0.250  0.22
Co8 0.625 0.251 0.277  0.32
O11 0.973 0.446 0.250  0.22
O12 0.278 0.055 0.250  0.23
F4 0.373 0.747 0.033  0.09

Summary:
The value obtained for the relative energy among the computed polymorphs is 0.17 eV/f.u. As for the space-group type: Cmce (64). Its final energy is -0.8001 Ry/atom. The calculation puts the uncorrected formation energy at -1.41 eV/atom.

This record from the Alexandria database describes a PBEsol-optimized structure of Co2OF3. The functional is meta-GGA SCAN.

abc: 5.447 5.447 5.447
angles: 104.86 109.45 114.24
Last column: magnetic moment on the atom in μB.
Atoms (fractional coordinates):
O1 0.577 0.750 0.327  0.27
F1 0.000 0.296 0.796  0.11
Co1 0.710 0.250 0.960  2.87
O2 0.423 0.250 0.673  0.27
Co2 0.000 0.000 0.500  1.47
Co3 0.290 0.750 0.040  2.87
Co4 0.500 0.500 0.500  1.47
F2 0.500 0.204 0.204  0.11
F3 0.000 0.704 0.204  0.11
F4 0.972 0.750 0.722  0.09
F5 0.028 0.250 0.278  0.09
F6 0.500 0.796 0.796  0.11

Summary:
The value obtained for the relative energy among the computed polymorphs is 0.06 eV/f.u. As for the space-group type: Imma (74). Its final energy is -0.7694 Ry/atom. The calculation puts the uncorrected formation energy at -1.89 eV/atom.

This record from the Alexandria database describes a PBEsol-optimized structure of Co2OF3. The functional is meta-GGA SCAN.

abc: 5.399 5.399 8.882
angles: 87.45 87.45 72.80
Last column: magnetic moment on the atom in μB.
Atoms (fractional coordinates):
F1 0.508 0.508 0.261  0.07
Co1 0.895 0.895 0.602  2.84
F2 0.721 0.721 0.461  0.07
F3 0.279 0.279 0.539  0.07
F4 0.431 0.041 0.251  0.10
F5 0.032 0.032 0.775  0.10
F6 0.569 0.959 0.749  0.10
Co2 0.000 0.000 0.000  0.99
O1 0.215 0.215 0.975  0.14
F7 0.968 0.968 0.225  0.10
F8 0.492 0.492 0.739  0.07
Co3 0.105 0.105 0.398  2.84
O2 0.785 0.785 0.025  0.14
O3 0.783 0.217 0.500  0.38
Co4 0.500 0.500 0.500  1.66
Co5 0.353 0.353 0.114  1.68
F9 0.959 0.569 0.749  0.10
Co6 0.738 0.738 0.231  2.69
F10 0.041 0.431 0.251  0.10
F11 0.696 0.304 0.000  0.05
O4 0.217 0.783 0.500  0.38
F12 0.304 0.696 0.000  0.05
Co7 0.647 0.647 0.886  1.68
Co8 0.262 0.262 0.769  2.69

Summary:
The value obtained for the relative energy among the computed polymorphs is 0.13 eV/f.u. As for the space-group type: C2/m (12). Its final energy is -0.7685 Ry/atom. The calculation puts the uncorrected formation energy at -1.88 eV/atom.

This record from the Alexandria database describes a PBEsol-optimized structure of Co2OF3. The functional is meta-GGA SCAN.

abc: 4.579 4.579 5.915
angles: 90.00 90.00 93.45
Last column: magnetic moment on the atom in μB.
Atoms (fractional coordinates):
F1 0.221 0.221 0.250  0.07
Co1 0.461 0.461 0.750  2.56
Co2 0.000 0.000 0.500  1.98
Co3 0.539 0.539 0.250  2.56
F2 0.296 0.704 0.000  0.10
F3 0.704 0.296 0.500  0.10
F4 0.296 0.704 0.500  0.10
O1 0.826 0.826 0.250  0.10
F5 0.779 0.779 0.750  0.07
Co4 0.000 0.000 0.000  1.98
O2 0.174 0.174 0.750  0.10
F6 0.704 0.296 0.000  0.10

Summary:
The value obtained for the relative energy among the computed polymorphs is 0.00 eV/f.u. As for the space-group type: Cmcm (63). Its final energy is -0.7701 Ry/atom. The calculation puts the uncorrected formation energy at -1.90 eV/atom.

This record from the Alexandria database describes a PBEsol-optimized structure of Co6OF11. The functional is meta-GGA SCAN.

abc: 5.546 5.546 7.170
angles: 72.54 72.54 73.74
Last column: magnetic moment on the atom in μB.
Atoms (fractional coordinates):
F1 0.105 0.105 0.698  0.11
Co1 0.640 0.640 0.342  2.81
Co2 0.998 0.998 0.499  2.76
F2 0.705 0.300 0.002  0.09
Co3 0.337 0.337 0.172  1.42
Co4 0.004 0.004 0.004  2.74
F3 0.886 0.886 0.306  0.11
F4 0.768 0.768 0.039  0.12
F5 0.038 0.637 0.670  0.11
F6 0.571 0.571 0.640  0.12
Co5 0.347 0.347 0.637  2.77
F7 0.300 0.705 0.002  0.09
F8 0.360 0.964 0.330  0.09
Co6 0.670 0.670 0.839  2.76
F9 0.245 0.245 0.963  0.05
F10 0.637 0.038 0.670  0.11
F11 0.964 0.360 0.330  0.09
O1 0.425 0.425 0.355  0.35

Summary:
As for the space-group type: Cm (8). Its final energy is -0.7612 Ry/atom. The calculation puts the uncorrected formation energy at -2.08 eV/atom.

This record from the Alexandria database describes a PBEsol-optimized structure of Co6OF11. The functional is meta-GGA SCAN.

abc: 5.551 5.551 7.327
angles: 71.14 71.14 71.94
Last column: magnetic moment on the atom in μB.
Atoms (fractional coordinates):
F1 0.632 0.014 0.673  0.10
F2 0.986 0.368 0.327  0.10
Co1 0.361 0.346 0.147  2.82
F3 0.028 0.626 0.669  0.11
F4 0.095 0.097 0.697  0.10
F5 0.275 0.725 0.000  0.07
Co2 0.333 0.325 0.666  2.75
F6 0.440 0.436 0.365  0.11
Co3 0.675 0.667 0.334  2.75
O1 0.708 0.292 0.000  0.36
F7 0.903 0.905 0.303  0.10
F8 0.229 0.239 0.964  0.09
F9 0.374 0.972 0.331  0.11
Co4 0.978 0.022 0.000  1.39
F10 0.564 0.560 0.635  0.11
Co5 0.004 0.996 0.500  2.74
Co6 0.654 0.639 0.853  2.82
F11 0.761 0.771 0.036  0.09

Summary:
As for the space-group type: C2 (5). Its final energy is -0.7612 Ry/atom. The calculation puts the uncorrected formation energy at -2.08 eV/atom.

This record from the Alexandria database describes a PBEsol-optimized structure of Co2O3F. The functional is meta-GGA SCAN.

abc: 4.317 4.317 11.440
angles: 90.00 90.00 93.02
Last column: magnetic moment on the atom in μB.
Atoms (fractional coordinates):
Co1 0.473 0.527 0.125  0.29
O1 0.186 0.814 0.375  0.17
O2 0.696 0.695 0.500  0.20
Co2 0.989 0.011 0.750  0.33
O3 0.681 0.711 0.250  0.21
O4 0.695 0.696 0.000  0.20
O5 0.711 0.681 0.750  0.21
F1 0.788 0.212 0.372  0.04
Co3 0.527 0.473 0.625  0.29
F2 0.212 0.788 0.628  0.04
O6 0.304 0.305 0.000  0.20
O7 0.289 0.319 0.250  0.21
O8 0.305 0.304 0.500  0.20
O9 0.814 0.186 0.625  0.17
Co4 0.000 0.000 0.000  1.68
Co5 0.011 0.989 0.250  0.33
Co6 0.000 0.000 0.500  1.68
F3 0.788 0.212 0.128  0.04
Co7 0.527 0.473 0.875  0.29
O10 0.186 0.814 0.125  0.17
F4 0.212 0.788 0.872  0.04
Co8 0.473 0.527 0.375  0.29
O11 0.814 0.186 0.875  0.17
O12 0.319 0.289 0.750  0.21

Summary:
The value obtained for the relative energy among the computed polymorphs is 0.00 eV/f.u. As for the space-group type: Cmcm (63). Its final energy is -0.8022 Ry/atom. The calculation puts the uncorrected formation energy at -1.44 eV/atom.

This record from the Alexandria database describes a PBEsol-optimized structure of CoPO2F. The functional is meta-GGA SCAN.

abc: 3.597 3.597 4.009
angles: 90.00 90.00 90.00
Last column: magnetic moment on the atom in μB.
Atoms (fractional coordinates):
O1 0.500 0.000 0.000  0.02
Co1 0.500 0.500 0.500  2.22
F1 0.000 0.000 0.500  0.00
O2 0.000 0.500 0.000  0.02
P1 0.000 0.000 0.000  -0.01

Summary:
As for the space-group type: P4/mmm (123). Its final energy is -0.6879 Ry/atom. The calculation puts the uncorrected formation energy at -0.62 eV/atom.

This record from the Alexandria database describes a PBEsol-optimized structure of CoPtOF2. The functional is meta-GGA SCAN.

abc: 3.565 3.985 3.985
angles: 90.00 90.00 90.00
Last column: magnetic moment on the atom in μB.
Atoms (fractional coordinates):
Pt1 0.500 0.500 0.500  1.15
F1 0.000 0.500 0.000  0.09
Co1 0.000 0.000 0.000  2.26
F2 0.000 0.000 0.500  0.09
O1 0.500 0.000 0.000  0.36

Summary:
The value obtained for the relative energy among the computed polymorphs is 0.00 eV/f.u. As for the space-group type: P4/mmm (123). Its final energy is -1.5221 Ry/atom. The calculation puts the uncorrected formation energy at -0.55 eV/atom.

This record from the Alexandria database describes a PBEsol-optimized structure of CoPtOF2. The functional is meta-GGA SCAN.

abc: 3.814 4.264 4.264
angles: 90.00 90.00 90.00
Last column: magnetic moment on the atom in μB.
Atoms (fractional coordinates):
F1 0.000 0.000 0.500  0.01
Co1 0.500 0.500 0.500  2.42
F2 0.000 0.500 0.000  0.01
Pt1 0.000 0.000 0.000  0.21
O1 0.500 0.000 0.000  0.18

Summary:
The value obtained for the relative energy among the computed polymorphs is 1.93 eV/f.u. As for the space-group type: P4/mmm (123). Its final energy is -1.4938 Ry/atom. The calculation puts the uncorrected formation energy at -0.16 eV/atom.

This record from the Alexandria database describes a PBEsol-optimized structure of CoReO2F. The functional is meta-GGA SCAN.

abc: 3.760 3.760 4.458
angles: 90.00 90.00 90.00
Last column: magnetic moment on the atom in μB.
Atoms (fractional coordinates):
O1 0.500 0.000 0.000  0.00
Co1 0.500 0.500 0.500  1.98
Re1 0.000 0.000 0.000  -0.08
F1 0.000 0.000 0.500  0.01
O2 0.000 0.500 0.000  0.00

Summary:
As for the space-group type: P4/mmm (123). Its final energy is -1.5865 Ry/atom. The calculation puts the uncorrected formation energy at -0.70 eV/atom.

This record from the Alexandria database describes a PBEsol-optimized structure of CoSb2S2O4F12. The functional is meta-GGA SCAN.

abc: 5.048 7.639 8.563
angles: 92.05 90.97 99.78
Last column: magnetic moment on the atom in μB.
Atoms (fractional coordinates):
F1 0.783 0.882 0.216  0.00
S1 0.495 0.798 0.779  0.00
F2 0.687 0.407 0.685  0.03
O1 0.589 0.305 0.369  0.04
F3 0.849 0.539 0.146  0.00
F4 0.151 0.461 0.854  0.00
F5 0.217 0.118 0.784  0.00
F6 0.249 0.811 0.077  0.00
F7 0.751 0.189 0.923  0.00
Co1 0.500 0.500 0.500  2.74
F8 0.142 0.344 0.556  0.03
F9 0.858 0.656 0.444  0.03
S2 0.505 0.202 0.221  0.00
F10 0.251 0.928 0.379  0.00
O2 0.738 0.764 0.851  0.00
O3 0.262 0.236 0.149  0.00
Sb1 0.046 0.740 0.254  0.01
O4 0.411 0.695 0.631  0.04
F11 0.313 0.593 0.315  0.03
F12 0.749 0.072 0.621  0.00
Sb2 0.954 0.260 0.746  0.01

Summary:
As for the space-group type: P-1 (2). Its final energy is -0.7727 Ry/atom. The calculation puts the uncorrected formation energy at -2.01 eV/atom.

This record from the Alexandria database describes a PBEsol-optimized structure of CoSiOF2. The functional is meta-GGA SCAN.

abc: 3.621 3.985 3.985
angles: 90.00 90.00 90.00
Last column: magnetic moment on the atom in μB.
Atoms (fractional coordinates):
Co1 0.000 0.000 0.000  2.17
Si1 0.500 0.500 0.500  -0.04
F1 0.000 0.500 0.000  0.04
F2 0.000 0.000 0.500  0.04
O1 0.500 0.000 0.000  0.15

Summary:
As for the space-group type: P4/mmm (123). Its final energy is -0.6715 Ry/atom. The calculation puts the uncorrected formation energy at -1.01 eV/atom.

This record from the Alexandria database describes a PBEsol-optimized structure of CoTcO2F. The functional is meta-GGA SCAN.

abc: 3.735 3.735 3.818
angles: 90.00 90.00 90.00
Last column: magnetic moment on the atom in μB.
Atoms (fractional coordinates):
O1 0.500 0.000 0.000  0.16
F1 0.000 0.000 0.500  0.08
Co1 0.000 0.000 0.000  1.76
Tc1 0.500 0.500 0.500  4.33
O2 0.000 0.500 0.000  0.16

Summary:
As for the space-group type: P4/mmm (123). Its final energy is -1.0585 Ry/atom. The calculation puts the uncorrected formation energy at -0.73 eV/atom.

This record from the Alexandria database describes a PBEsol-optimized structure of CoTeO2F. The functional is meta-GGA SCAN.

abc: 3.829 3.829 3.825
angles: 90.00 90.00 90.00
Last column: magnetic moment on the atom in μB.
Atoms (fractional coordinates):
Co1 0.000 0.000 0.000  0.85
F1 0.000 0.000 0.500  0.00
O1 0.500 0.000 0.000  -0.03
Te1 0.500 0.500 0.500  -0.02
O2 0.000 0.500 0.000  -0.03

Summary:
As for the space-group type: P4/mmm (123). Its final energy is -1.0929 Ry/atom. The calculation puts the uncorrected formation energy at -0.76 eV/atom.

This record from the Alexandria database describes a PBEsol-optimized structure of TiCoO2F. The functional is meta-GGA SCAN.

abc: 3.828 3.828 3.825
angles: 90.00 90.00 90.00
Last column: magnetic moment on the atom in μB.
Atoms (fractional coordinates):
F1 0.000 0.000 0.500  0.00
Co1 0.500 0.500 0.500  2.24
O1 0.500 0.000 0.000  0.05
Ti1 0.000 0.000 0.000  -0.29
O2 0.000 0.500 0.000  0.05

Summary:
As for the space-group type: P4/mmm (123). Its final energy is -0.8722 Ry/atom. The calculation puts the uncorrected formation energy at -2.00 eV/atom.

This record from the Alexandria database describes a PBEsol-optimized structure of TlCoOF2. The functional is meta-GGA SCAN.

abc: 3.602 4.207 4.207
angles: 90.00 90.00 90.00
Last column: magnetic moment on the atom in μB.
Atoms (fractional coordinates):
F1 0.000 0.000 0.500  0.05
Tl1 0.500 0.500 0.500  0.04
O1 0.500 0.000 0.000  0.46
Co1 0.000 0.000 0.000  2.55
F2 0.000 0.500 0.000  0.05

Summary:
As for the space-group type: P4/mmm (123). Its final energy is -1.6338 Ry/atom. The calculation puts the uncorrected formation energy at -1.63 eV/atom.

This record from the Alexandria database describes a PBEsol-optimized structure of ZnCoOF2. The functional is meta-GGA SCAN.

abc: 3.581 3.962 3.962
angles: 90.00 90.00 90.00
Last column: magnetic moment on the atom in μB.
Atoms (fractional coordinates):
Co1 0.000 0.000 0.000  2.17
F1 0.000 0.500 0.000  0.02
Zn1 0.500 0.500 0.500  -0.14
F2 0.000 0.000 0.500  0.02
O1 0.500 0.000 0.000  0.21

Summary:
As for the space-group type: P4/mmm (123). Its final energy is -0.7448 Ry/atom. The calculation puts the uncorrected formation energy at -1.31 eV/atom.

no.,M_tot (μB per formula unit)
1,0.66
2,2.01
3,3.03
4,5.03
5,4.90
6,5.00
7,17.00
8,17.00
9,2.02
10,2.31
11,4.02
12,2.94
13,1.98
14,3.00
15,2.36
16,6.80
17,0.77
18,2.09
19,3.28
20,2.29